P.
VASP calculation (GGA-PBE) on a geometry-optimized AlV2HOs structure.

Structure (POSCAR):
```
AlV2HOs
1.0
3.703 0.000 0.000
0.000 3.703 0.000
0.000 0.000 4.184
Al V H Os
1 2 1 1
Direct
0.000 0.000 0.000 Al
0.000 0.500 0.500 V
0.500 0.000 0.500 V
0.000 0.000 0.500 H
0.500 0.500 0.000 Os
```


Q.
VASP calculation (GGA-PBE) on a geometry-optimized AlV2HOs structure.

Structure (POSCAR):
```
AlV2HOs
1.0
3.824 0.000 0.000
0.000 3.824 0.000
0.000 0.000 3.952
Al V H Os
1 2 1 1
Direct
0.000 0.000 0.000 Al
0.000 0.500 0.500 V
0.500 0.000 0.500 V
0.500 0.500 0.500 H
0.500 0.500 0.000 Os
```


Winner for stability: Q


P.
VASP calculation (GGA-PBE) on a geometry-optimized Al2PH structure.

Structure (POSCAR):
```
Al2PH
1.0
0.000 2.990 2.990
2.990 0.000 2.990
2.990 2.990 0.000
Al P H
2 1 1
Direct
0.250 0.250 0.250 Al
0.750 0.750 0.750 Al
0.000 0.000 0.000 P
0.500 0.500 0.500 H
```


Q.
VASP calculation (GGA-PBE) on a geometry-optimized Al2PH structure.

Structure (POSCAR):
```
Al2PH
1.0
-2.186 2.186 6.419
2.186 -2.186 6.419
2.186 2.186 -6.419
Al P H
4 2 2
Direct
0.049 0.625 0.924 Al
0.375 0.299 0.424 Al
0.701 0.125 0.076 Al
0.875 0.951 0.576 Al
0.250 0.750 0.500 P
0.500 0.500 0.000 P
0.000 0.000 0.000 H
0.750 0.250 0.500 H
```


Winner for stability: Q


P.
VASP calculation (GGA-PBE) on a geometry-optimized AlP3H structure.

Structure (POSCAR):
```
AlP3H
1.0
3.984 0.000 0.000
0.000 3.984 0.000
0.000 0.000 3.984
Al P H
1 3 1
Direct
0.000 0.000 0.000 Al
0.000 0.500 0.500 P
0.500 0.000 0.500 P
0.500 0.500 0.000 P
0.500 0.500 0.500 H
```


Q.
VASP calculation (GGA-PBE) on a geometry-optimized AlP3H structure.

Structure (POSCAR):
```
AlP3H
1.0
4.636 0.000 0.000
0.000 4.636 0.000
0.000 0.000 4.636
Al P H
1 3 1
Direct
0.000 0.000 0.000 Al
0.000 0.000 0.500 P
0.000 0.500 0.000 P
0.500 0.000 0.000 P
0.500 0.500 0.500 H
```


Winner for stability: P


P.
VASP calculation (GGA-PBE) on a geometry-optimized AlP2H structure.

Structure (POSCAR):
```
AlP2H
1.0
-2.228 2.228 5.915
2.228 -2.228 5.915
2.228 2.228 -5.915
Al P H
2 4 2
Direct
0.000 0.000 0.000 Al
0.750 0.250 0.500 Al
0.234 0.625 0.109 P
0.375 0.484 0.609 P
0.516 0.125 0.891 P
0.875 0.766 0.391 P
0.250 0.750 0.500 H
0.500 0.500 0.000 H
```


Q.
VASP calculation (GGA-PBE) on a geometry-optimized AlP2H structure.

Structure (POSCAR):
```
AlP2H
1.0
0.000 2.929 2.929
2.929 0.000 2.929
2.929 2.929 0.000
Al P H
1 2 1
Direct
0.000 0.000 0.000 Al
0.250 0.250 0.250 P
0.750 0.750 0.750 P
0.500 0.500 0.500 H
```


Winner for stability: P


P.
VASP calculation (GGA-PBE) on a geometry-optimized AlPH2 structure.

Structure (POSCAR):
```
AlPH2
1.0
-1.730 1.730 6.705
1.730 -1.730 6.705
1.730 1.730 -6.705
Al P H
2 2 4
Direct
0.000 0.000 0.000 Al
0.750 0.250 0.500 Al
0.250 0.750 0.500 P
0.500 0.500 0.000 P
0.107 0.625 0.982 H
0.375 0.357 0.482 H
0.643 0.125 0.018 H
0.875 0.893 0.518 H
```


Q.
VASP calculation (GGA-PBE) on a geometry-optimized AlPH2 structure.

Structure (POSCAR):
```
AlPH2
1.0
0.000 2.617 2.617
2.617 0.000 2.617
2.617 2.617 0.000
Al P H
1 1 2
Direct
0.000 0.000 0.000 Al
0.500 0.500 0.500 P
0.250 0.250 0.250 H
0.750 0.750 0.750 H
```


Winner for stability: P


P.
VASP calculation (GGA-PBE) on a geometry-optimized AlP2HS structure.

Structure (POSCAR):
```
AlP2HS
1.0
4.668 0.000 0.000
0.000 4.668 0.000
0.000 0.000 4.633
Al P H S
1 2 1 1
Direct
0.000 0.000 0.000 Al
0.000 0.500 0.000 P
0.500 0.000 0.000 P
0.500 0.500 0.500 H
0.000 0.000 0.500 S
```


Q.
VASP calculation (GGA-PBE) on a geometry-optimized AlP2HS structure.

Structure (POSCAR):
```
AlP2HS
1.0
3.469 0.000 0.000
0.000 3.469 0.000
0.000 0.000 6.678
Al P H S
1 2 1 1
Direct
0.000 0.000 0.000 Al
0.000 0.500 0.500 P
0.500 0.000 0.500 P
0.500 0.500 0.500 H
0.500 0.500 0.000 S
```


Winner for stability: Q